No. 1
Density functional theory data (PBE+U) for a geometry-optimized Li3V2F9 structure.

a = 5.113 Å, b = 5.113 Å, c = 14.264 Å
α = 90.00°, β = 90.00°, γ = 120.00°
Element x y z (fractional)
Li  0.000  0.000  0.000
Li  0.000  0.000  0.201
Li  0.000  0.000  0.500
Li  0.000  0.000  0.701
Li  0.333  0.667  0.013
Li  0.333  0.667  0.513
V  0.667  0.333  0.160
V  0.667  0.333  0.366
V  0.667  0.333  0.660
V  0.667  0.333  0.866
F  0.319  0.004  0.099
F  0.319  0.316  0.599
F  0.349  0.009  0.437
F  0.349  0.340  0.937
F  0.373  0.061  0.761
F  0.373  0.311  0.261
F  0.660  0.009  0.937
F  0.660  0.651  0.437
F  0.684  0.004  0.599
F  0.684  0.681  0.099
F  0.689  0.061  0.261
F  0.689  0.627  0.761
F  0.939  0.311  0.761
F  0.939  0.627  0.261
F  0.991  0.340  0.437
F  0.991  0.651  0.937
F  0.996  0.316  0.099
F  0.996  0.681  0.599

The space group is P3c1 (158). Its energy relative to the lowest polymorph listed for this composition is 0 meV/atom. Its density of states at the Fermi level is 0.000 states/eV per atom.

No. 2
Density functional theory data (PBE+U) for a geometry-optimized Li3V2F12 structure.

a = 5.015 Å, b = 8.906 Å, c = 9.636 Å
α = 90.00°, β = 92.74°, γ = 90.00°
Element x y z (fractional)
Li  0.000  0.106  0.000
Li  0.000  0.894  0.500
Li  0.473  0.338  0.222
Li  0.473  0.662  0.722
Li  0.980  0.188  0.710
Li  0.980  0.812  0.210
V  0.495  0.000  0.239
V  0.495  0.000  0.739
V  0.986  0.498  0.971
V  0.986  0.502  0.471
F  0.107  0.341  0.870
F  0.107  0.659  0.370
F  0.169  0.373  0.366
F  0.169  0.627  0.866
F  0.204  0.019  0.855
F  0.204  0.981  0.355
F  0.276  0.480  0.091
F  0.276  0.520  0.591
F  0.307  0.152  0.129
F  0.307  0.848  0.629
F  0.327  0.149  0.635
F  0.327  0.851  0.135
F  0.644  0.163  0.327
F  0.644  0.837  0.827
F  0.698  0.484  0.351
F  0.698  0.516  0.851
F  0.704  0.139  0.848
F  0.704  0.861  0.348
F  0.788  0.012  0.618
F  0.788  0.988  0.118
F  0.810  0.361  0.074
F  0.810  0.639  0.574
F  0.865  0.351  0.577
F  0.865  0.649  0.077

The space group is Pc (7). Its energy relative to the lowest polymorph listed for this composition is 0 meV/atom.

Copy entry 2 word for word.
Density functional theory data (PBE+U) for a geometry-optimized Li3V2F12 structure.

a = 5.015 Å, b = 8.906 Å, c = 9.636 Å
α = 90.00°, β = 92.74°, γ = 90.00°
Element x y z (fractional)
Li  0.000  0.106  0.000
Li  0.000  0.894  0.500
Li  0.473  0.338  0.222
Li  0.473  0.662  0.722
Li  0.980  0.188  0.710
Li  0.980  0.812  0.210
V  0.495  0.000  0.239
V  0.495  0.000  0.739
V  0.986  0.498  0.971
V  0.986  0.502  0.471
F  0.107  0.341  0.870
F  0.107  0.659  0.370
F  0.169  0.373  0.366
F  0.169  0.627  0.866
F  0.204  0.019  0.855
F  0.204  0.981  0.355
F  0.276  0.480  0.091
F  0.276  0.520  0.591
F  0.307  0.152  0.129
F  0.307  0.848  0.629
F  0.327  0.149  0.635
F  0.327  0.851  0.135
F  0.644  0.163  0.327
F  0.644  0.837  0.827
F  0.698  0.484  0.351
F  0.698  0.516  0.851
F  0.704  0.139  0.848
F  0.704  0.861  0.348
F  0.788  0.012  0.618
F  0.788  0.988  0.118
F  0.810  0.361  0.074
F  0.810  0.639  0.574
F  0.865  0.351  0.577
F  0.865  0.649  0.077

The space group is Pc (7). Its energy relative to the lowest polymorph listed for this composition is 0 meV/atom.